# CaW2

CaW2 after structural relaxation (PBE, Alexandria via LeMat-Bulk).

Unit cell a=6.085 b=6.085 c=8.265 alpha=110.56 beta=110.56 gamma=25.92
Element x y z (fractional)
Ca  0.155  0.155  0.125
Ca  0.845  0.845  0.875
W  0.148  0.148  0.506
W  0.448  0.448  0.279
W  0.552  0.552  0.721
W  0.852  0.852  0.494

Summary:
Crystal system = monoclinic
ΔE_f = 0.70 eV/atom
Theoretical density = 10.85 g/cm³